The following is a DFT calculation (SCAN) of InNiS2Cl at its PBEsol-relaxed geometry.

As for the raw formation energy: 2.43 eV per formula unit. Its total magnetization is 0.36 μB/atom. Its density of states at the Fermi level is 3.9 states/eV per cell. The total energy is -1.0932 Ry per atom.

abc: 4.9473 4.9473 4.9174
angles: 90.00 90.00 90.00
Element x y z (fractional)
1 In 0.0000 0.0000 0.0000
2 Ni 0.5000 0.5000 0.5000
3 S 0.0000 0.5000 0.0000
4 S 0.5000 0.0000 0.0000
5 Cl 0.0000 0.0000 0.5000